K4AuF7 | PBE | relaxed

The density of states at the Fermi level is 19.126 states/eV/f.u. The calculation puts the density at 3437 kg/m3. The calculation puts the formation energy without anion corrections at -2413 kJ/mol of formula units.

It has space group C2/m (No. 12), with a = 13.910 Å, b = 4.288 Å, c = 10.244 Å, α = 90.00°, β = 129.73° and γ = 90.00°. The asymmetric unit holds K at (0.103, 0.000, 0.272), K at (0.238, 0.000, 0.860), Au at (0.000, 0.500, 0.500), F at (0.000, 0.000, 0.500), F at (0.055, 0.500, 0.733), F at (0.134, 0.000, 0.020) and F at (0.246, 0.500, 0.377).